Entry 1:
{
  "formula": "Dy3MgCd2",
  "functional": "PBE-GGA",
  "state": "optimized geometry",
  "lattice": [[3.7752, 0.0000, 0.0000], [0.0000, 3.7752, 0.0000], [0.0000, 0.0000, 11.1572]],
  "species": ["Dy", "Dy", "Dy", "Mg", "Cd", "Cd"],
  "frac_coords": [[0.0000, 0.0000, 0.0000], [0.0000, 0.0000, 0.3313], [0.0000, 0.0000, 0.6687], [0.5000, 0.5000, 0.5000], [0.5000, 0.5000, 0.1688], [0.5000, 0.5000, 0.8312]],
  "polymorph_energy_kj_per_mol_fu": 3,
  "formation_energy_mev_per_atom": -239
}

Entry 2:
{
  "formula": "Sr3SnSb",
  "functional": "PBE-GGA",
  "state": "optimized geometry",
  "lattice": [[6.1804, 0.0000, 0.0000], [0.0000, 6.1804, 0.0000], [0.0000, 0.0000, 6.1804]],
  "species": ["Sr", "Sr", "Sr", "Sn", "Sb"],
  "frac_coords": [[0.0000, 0.0000, 0.5000], [0.0000, 0.5000, 0.0000], [0.5000, 0.0000, 0.0000], [0.5000, 0.5000, 0.5000], [0.0000, 0.0000, 0.0000]],
  "polymorph_energy_kj_per_mol_fu": 142,
  "raw_formation_energy_ev_per_atom": -0.423
}

Entry 3:
{
  "formula": "Cr2Pb",
  "functional": "PBE-GGA",
  "state": "optimized geometry",
  "lattice": [[4.6639, 0.0000, 0.0000], [-2.3319, 4.0390, 0.0000], [0.0000, 0.0000, 3.2731]],
  "species": ["Cr", "Cr", "Pb"],
  "frac_coords": [[0.3333, 0.6667, 0.2062], [0.6667, 0.3333, 0.7938], [0.0000, 0.0000, 0.5000]],
  "polymorph_energy_kj_per_mol_fu": 137,
  "formation_energy_mev_per_atom": 904
}